Record 1
Here is a relaxed RbBaNi2Sb crystal from Alexandria. Energies are from PBE.

- Crystal system: tetragonal
- Calculated total energy: -16.37 eV/f.u.
- ΔE_f (raw): 2.20 eV/f.u.

Cell and atoms, written as POSCAR:
```
RbBaNi2Sb
1.0
5.007 0.000 0.000
0.000 6.358 0.000
0.000 0.000 5.007
Sb Ba Ni Rb
1 1 2 1
Direct
0.000 0.000 0.000
0.000 0.500 0.000
0.500 0.000 0.000
0.000 0.000 0.500
0.500 0.500 0.500
```

Record 2
Here is a relaxed BOs3Pb crystal from Alexandria. Energies are from PBE.

- Formation energy: 4.021 eV/atom
- Crystal system: cubic
- Calculated total energy: -23.97 eV/f.u.

Cell and atoms, written as POSCAR:
```
BOs3Pb
1.0
5.036 0.000 0.000
0.000 5.036 0.000
0.000 0.000 5.036
Os B Pb
3 1 1
Direct
0.000 0.500 0.000
0.000 0.000 0.500
0.500 0.000 0.000
0.500 0.500 0.500
0.000 0.000 0.000
```

Record 3
Here is a relaxed Li3Pm2Tl3 crystal from Alexandria. Energies are from PBE.

- Formation energy: -0.174 eV/atom
- Crystal system: hexagonal
- Calculated total energy: -23.73 eV/f.u.

Cell and atoms, written as POSCAR:
```
Li3Pm2Tl3
1.0
-3.085 -4.218 -3.567
-3.785 -3.454 7.358
-7.827 3.228 2.952
Pm Li Tl
4 6 6
Direct
0.500 0.667 0.667
0.000 0.333 0.333
0.000 0.667 0.667
0.500 0.333 0.333
0.750 0.281 0.719
0.250 0.281 0.000
0.250 0.000 0.719
0.250 0.719 0.281
0.750 0.000 0.281
0.750 0.719 0.000
0.750 0.639 0.361
0.250 0.361 0.639
0.750 0.361 0.000
0.750 0.000 0.639
0.250 0.000 0.361
0.250 0.639 0.000
```

Record 4
Here is a relaxed CeTl2Cd2 crystal from Alexandria. Energies are from PBE.

- Formation energy: -0.036 eV/atom
- Crystal system: tetragonal
- Calculated total energy: -12.68 eV/f.u.

Cell and atoms, written as POSCAR:
```
CeTl2Cd2
1.0
4.595 0.000 0.000
0.000 4.595 0.000
-2.297 -2.297 6.523
Tl Ce Cd
2 1 2
Direct
0.391 0.391 0.781
0.609 0.609 0.219
0.000 0.000 0.000
0.750 0.250 0.500
0.250 0.750 0.500
```

Record 5
Here is a relaxed Ho3Hg2Pd2 crystal from Alexandria. Energies are from PBE.

- Formation energy: -0.691 eV/atom
- Crystal system: orthorhombic
- Calculated total energy: -29.56 eV/f.u.

Cell and atoms, written as POSCAR:
```
Ho3Hg2Pd2
1.0
-1.475 2.299 2.844
1.213 -2.357 2.534
8.984 6.727 1.957
Hg Ho Pd
2 3 2
Direct
0.579 0.500 0.842
0.421 0.500 0.158
0.833 0.000 0.334
0.000 0.000 0.000
0.167 0.000 0.666
0.291 0.500 0.418
0.709 0.500 0.582
```

Record 6
Here is a relaxed TiSnO2 crystal from Alexandria. Energies are from PBE.

- Crystal system: trigonal
- Calculated total energy: -29.98 eV/f.u.
- ΔE_f (raw): -8.16 eV/f.u.

Cell and atoms, written as POSCAR:
```
TiSnO2
1.0
-2.020 -6.551 1.632
0.841 -6.974 0.557
0.406 -6.110 3.486
Sn O Ti
1 2 1
Direct
0.000 0.000 0.000
0.884 0.884 0.884
0.116 0.116 0.116
0.500 0.500 0.500
```